1.
Computed, not measured: crystalline Li2MgW at its relaxed geometry at the PBE-GGA level of DFT.

- space group = R3m
- total magnetic moment (Bohr magnetons per cell) = 0.1
- formation energy (eV per formula unit) = 1.34
- mass density (g/cm3) = 5.2

The structure in POSCAR format:
```
Li2MgW
1.0
2.8401 0.0000 0.0000
-1.4201 2.4596 0.0000
0.0000 0.0000 30.2397
Li Mg W
6 3 3
direct
0.0000 0.0000 0.0000 Li
0.0000 0.0000 0.2480 Li
0.3333 0.6667 0.6667 Li
0.3333 0.6667 0.9147 Li
0.6667 0.3333 0.3333 Li
0.6667 0.3333 0.5814 Li
0.0000 0.0000 0.7523 Mg
0.3333 0.6667 0.4190 Mg
0.6667 0.3333 0.0856 Mg
0.0000 0.0000 0.5010 W
0.3333 0.6667 0.1677 W
0.6667 0.3333 0.8343 W
```

2.
Computed, not measured: crystalline Li2MgW at its relaxed geometry at the PBE-GGA level of DFT.

- space group = Cmmm
- total magnetic moment (Bohr magnetons per cell) = 0.0
- formation energy (eV per formula unit) = 2.04
- mass density (g/cm3) = 5.4

The structure in POSCAR format:
```
Li2MgW
1.0
5.5871 0.0000 0.0000
0.0000 9.4761 0.0000
0.0000 0.0000 2.5567
Li Mg W
4 2 2
direct
0.2500 0.2500 0.0000 Li
0.2500 0.7500 0.0000 Li
0.7500 0.2500 0.0000 Li
0.7500 0.7500 0.0000 Li
0.0000 0.0000 0.5000 Mg
0.5000 0.5000 0.5000 Mg
0.0000 0.5000 0.5000 W
0.5000 0.0000 0.5000 W
```

3.
Computed, not measured: crystalline LiMgW2 at its relaxed geometry at the PBE-GGA level of DFT.

- space group = P4/mmm
- total magnetic moment (Bohr magnetons per cell) = 0.0
- formation energy (eV per formula unit) = 2.29
- mass density (g/cm3) = 10.1

The structure in POSCAR format:
```
LiMgW2
1.0
2.6535 0.0000 0.0000
0.0000 2.6535 0.0000
0.0000 0.0000 9.3292
Li Mg W
1 1 2
direct
0.0000 0.0000 0.0000 Li
0.0000 0.0000 0.5000 Mg
0.5000 0.5000 0.2503 W
0.5000 0.5000 0.7497 W
```

4.
Computed, not measured: crystalline LiMg14W at its relaxed geometry at the PBE-GGA level of DFT.

- space group = P-6m2
- total magnetic moment (Bohr magnetons per cell) = 0.4
- formation energy (eV per formula unit) = 2.08
- energy above the most stable polymorph in this dataset (meV per atom) = 17
- mass density (g/cm3) = 2.6

The structure in POSCAR format:
```
LiMg14W
1.0
6.2665 0.0000 0.0000
-3.1333 5.4270 0.0000
0.0000 0.0000 10.0351
Li Mg W
1 14 1
direct
0.0000 0.0000 0.0000 Li
0.0032 0.5016 0.0000 Mg
0.1601 0.3202 0.2585 Mg
0.1601 0.3202 0.7415 Mg
0.1601 0.8399 0.2585 Mg
0.1601 0.8399 0.7415 Mg
0.4984 0.5016 0.0000 Mg
0.4984 0.9968 0.0000 Mg
0.5004 0.0007 0.5000 Mg
0.5004 0.4996 0.5000 Mg
0.6667 0.3333 0.2470 Mg
0.6667 0.3333 0.7530 Mg
0.6798 0.8399 0.2585 Mg
0.6798 0.8399 0.7415 Mg
0.9993 0.4996 0.5000 Mg
0.0000 0.0000 0.5000 W
```

5.
Computed, not measured: crystalline LiMg2W at its relaxed geometry at the PBE-GGA level of DFT.

- space group = R-3m
- total magnetic moment (Bohr magnetons per cell) = 0.0
- formation energy (eV per formula unit) = 1.14
- energy above the most stable polymorph in this dataset (meV per atom) = 55
- mass density (g/cm3) = 5.4

The structure in POSCAR format:
```
LiMg2W
1.0
2.9131 0.0000 0.0000
-1.4565 2.5228 0.0000
0.0000 0.0000 29.9830
Li Mg W
3 6 3
direct
0.0000 0.0000 0.0000 Li
0.3333 0.6667 0.6667 Li
0.6667 0.3333 0.3333 Li
0.0000 0.0000 0.2481 Mg
0.0000 0.0000 0.7519 Mg
0.3333 0.6667 0.4186 Mg
0.3333 0.6667 0.9147 Mg
0.6667 0.3333 0.0853 Mg
0.6667 0.3333 0.5814 Mg
0.0000 0.0000 0.5000 W
0.3333 0.6667 0.1667 W
0.6667 0.3333 0.8333 W
```

6.
Computed, not measured: crystalline Li2MgW at its relaxed geometry at the PBE-GGA level of DFT.

- space group = F-43m
- total magnetic moment (Bohr magnetons per cell) = 8.3
- formation energy (eV per formula unit) = 3.59
- mass density (g/cm3) = 5.3

The structure in POSCAR format:
```
Li2MgW
1.0
6.5177 0.0000 0.0000
0.0000 6.5177 0.0000
0.0000 0.0000 6.5177
Li Mg W
8 4 4
direct
0.0000 0.0000 0.0000 Li
0.0000 0.5000 0.5000 Li
0.2500 0.2500 0.2500 Li
0.2500 0.7500 0.7500 Li
0.5000 0.0000 0.5000 Li
0.5000 0.5000 0.0000 Li
0.7500 0.2500 0.7500 Li
0.7500 0.7500 0.2500 Li
0.2500 0.2500 0.7500 Mg
0.2500 0.7500 0.2500 Mg
0.7500 0.2500 0.2500 Mg
0.7500 0.7500 0.7500 Mg
0.0000 0.0000 0.5000 W
0.0000 0.5000 0.0000 W
0.5000 0.0000 0.0000 W
0.5000 0.5000 0.5000 W
```

7.
Computed, not measured: crystalline LiMgW2 at its relaxed geometry at the PBE-GGA level of DFT.

- space group = Pmmm
- total magnetic moment (Bohr magnetons per cell) = 0.0
- formation energy (eV per formula unit) = 1.77
- mass density (g/cm3) = 10.2

The structure in POSCAR format:
```
LiMgW2
1.0
3.1018 0.0000 0.0000
0.0000 4.3231 0.0000
0.0000 0.0000 4.8609
Li Mg W
1 1 2
direct
0.0000 0.0000 0.0000 Li
0.5000 0.5000 0.0000 Mg
0.0000 0.5000 0.5000 W
0.5000 0.0000 0.5000 W
```

8.
Computed, not measured: crystalline LiMgW2 at its relaxed geometry at the PBE-GGA level of DFT.

- space group = Cmmm
- total magnetic moment (Bohr magnetons per cell) = 0.0
- formation energy (eV per formula unit) = 2.04
- mass density (g/cm3) = 10.0

The structure in POSCAR format:
```
LiMgW2
1.0
3.0146 0.0000 0.0000
0.0000 4.4599 0.0000
0.0000 0.0000 9.8364
Li Mg W
2 2 4
direct
0.0000 0.0000 0.0000 Li
0.5000 0.5000 0.0000 Li
0.0000 0.0000 0.5000 Mg
0.5000 0.5000 0.5000 Mg
0.0000 0.5000 0.2503 W
0.0000 0.5000 0.7497 W
0.5000 0.0000 0.2503 W
0.5000 0.0000 0.7497 W
```

9.
Computed, not measured: crystalline Li2MgW at its relaxed geometry at the PBE-GGA level of DFT.

- space group = Cm
- total magnetic moment (Bohr magnetons per cell) = 0.6
- formation energy (eV per formula unit) = 2.13
- mass density (g/cm3) = 5.4

The structure in POSCAR format:
```
Li2MgW
1.0
9.8817 0.0000 0.0000
0.0000 2.6014 0.0000
-0.7303 0.0000 5.3443
Li Mg W
4 2 2
direct
0.0000 0.0000 0.0000 Li
0.2480 0.5000 0.2427 Li
0.5000 0.5000 0.0000 Li
0.7480 0.0000 0.2427 Li
0.2505 0.0000 0.7115 Mg
0.7505 0.5000 0.7115 Mg
0.0011 0.5000 0.4966 W
0.5011 0.0000 0.4966 W
```

10.
Computed, not measured: crystalline LiMg2W at its relaxed geometry at the PBE-GGA level of DFT.

- space group = P4/mmm
- total magnetic moment (Bohr magnetons per cell) = 0.0
- formation energy (eV per formula unit) = 1.67
- energy above the most stable polymorph in this dataset (meV per atom) = 186
- mass density (g/cm3) = 5.5

The structure in POSCAR format:
```
LiMg2W
1.0
5.1047 0.0000 0.0000
0.0000 5.1047 0.0000
0.0000 0.0000 2.7654
Li Mg W
1 2 1
direct
0.0000 0.0000 0.0000 Li
0.0000 0.5000 0.5000 Mg
0.5000 0.0000 0.5000 Mg
0.5000 0.5000 0.0000 W
```

11.
Computed, not measured: crystalline LiMgW2 at its relaxed geometry at the PBE-GGA level of DFT.

- space group = I-4m2
- total magnetic moment (Bohr magnetons per cell) = 0.0
- formation energy (eV per formula unit) = 2.13
- mass density (g/cm3) = 10.4

The structure in POSCAR format:
```
LiMgW2
1.0
4.4762 0.0000 0.0000
0.0000 4.4762 0.0000
0.0000 0.0000 6.3725
Li Mg W
2 2 4
direct
0.0000 0.0000 0.0000 Li
0.5000 0.5000 0.5000 Li
0.0000 0.5000 0.7500 Mg
0.5000 0.0000 0.2500 Mg
0.0000 0.0000 0.5000 W
0.0000 0.5000 0.2500 W
0.5000 0.0000 0.7500 W
0.5000 0.5000 0.0000 W
```

12.
Computed, not measured: crystalline LiMg2W at its relaxed geometry at the PBE-GGA level of DFT.

- space group = Cmmm
- total magnetic moment (Bohr magnetons per cell) = 0.0
- formation energy (eV per formula unit) = 0.92
- energy above the most stable polymorph in this dataset (meV per atom) = 0
- mass density (g/cm3) = 5.4

The structure in POSCAR format:
```
LiMg2W
1.0
3.5972 0.0000 0.0000
0.0000 4.2471 0.0000
0.0000 0.0000 9.5484
Li Mg W
2 4 2
direct
0.0000 0.0000 0.0000 Li
0.5000 0.5000 0.0000 Li
0.0000 0.5000 0.2617 Mg
0.0000 0.5000 0.7383 Mg
0.5000 0.0000 0.2617 Mg
0.5000 0.0000 0.7383 Mg
0.0000 0.0000 0.5000 W
0.5000 0.5000 0.5000 W
```

> Which of these has the highest mass density?

number 11